(1)
WBr3 (PBE, optimized geometry); raw total energy = -4.588 eV/atom; ΔE_f (raw) = -0.38 eV per formula unit; mass density = 5.5 g/cm3; total moment = 2.97 μB/f.u.; offset from the most stable computed form = 0 meV per atom
1.0
-1.861 0.549 3.331
3.330 -3.166 2.383
7.551 9.888 2.588
Br W
6 2
Cartesian
6.032 8.642 3.054
5.098 5.157 5.349
0.452 -1.225 3.362
3.127 5.135 2.453
0.593 1.520 1.190
2.986 2.391 4.626
-1.415 0.418 2.533
4.995 3.492 3.283



(2)
Pm6Tl2Cu (PBE, optimized geometry); energy relative to the elements = -0.21 eV/atom; raw total energy = -4.358 eV/atom; mass density = 8.3 g/cm3; total moment = 0.00 μB/f.u.
1.0
-3.111 -2.183 0.248
1.205 -0.703 8.905
-4.983 6.718 -3.357
Pm Tl Cu
6 2 1
Cartesian
-2.843 4.526 4.174
-0.029 0.960 8.074
-3.069 1.317 2.346
0.299 -0.174 2.207
-3.338 2.232 7.016
-0.833 -1.513 5.463
-0.858 1.771 4.817
-2.920 4.244 0.729
-1.555 -1.092 0.126



(3)
Y2Al3Pt2 (PBE, optimized geometry); energy relative to the elements = -1.01 eV/atom; raw total energy = -6.189 eV/atom; mass density = 7.8 g/cm3; total moment = 0.00 μB/f.u.
1.0
4.224 0.000 0.000
-2.112 4.776 -2.004
0.000 -0.325 6.945
Y Al Pt
2 3 2
Cartesian
2.112 3.314 0.116
0.000 1.137 4.825
2.112 1.107 2.522
2.112 0.000 0.000
0.000 3.344 2.419
2.112 3.188 3.996
0.000 1.262 0.946



(4)
KBe2Hg (PBE, optimized geometry); energy relative to the elements = 0.47 eV/atom; raw total energy = -1.738 eV/atom; mass density = 5.3 g/cm3; total moment = 0.00 μB/f.u.
1.0
-1.999 2.665 1.415
-1.780 -0.193 -2.151
-4.683 -5.368 3.496
Be Hg K
2 1 1
Cartesian
-2.477 0.409 0.359
-2.300 -0.920 -1.516
-2.675 -2.389 0.722
-6.022 -2.969 1.715



(5)
CePu2Ge (PBE, optimized geometry); energy relative to the elements = -0.16 eV/atom; raw total energy = -9.968 eV/atom; mass density = 12.6 g/cm3; total moment = 13.40 μB/f.u.; offset from the most stable computed form = 166 meV per atom
1.0
-0.738 -3.021 4.012
0.899 -4.982 -0.375
3.976 -2.049 2.400
Ge Pu Ce
1 2 1
Cartesian
0.000 0.000 0.000
3.103 -7.539 4.528
1.034 -2.513 1.509
2.069 -5.026 3.019



(6)
Sm4Sb6Rh7 (PBE, optimized geometry); raw total energy = -6.469 eV/atom; ΔE_f (raw) = -14.90 eV per formula unit; mass density = 9.8 g/cm3; total moment = 0.00 μB/f.u.
1.0
7.242 0.000 -2.561
-3.621 6.272 -2.561
0.000 0.000 7.682
Sb Rh Sm
6 7 4
Cartesian
2.466 4.272 -3.488
-1.155 2.000 1.633
4.932 0.000 3.488
2.310 0.000 1.633
-2.466 4.272 3.488
1.155 2.000 -1.633
4.526 1.568 1.280
3.621 3.136 -1.280
-0.905 4.704 1.280
2.716 1.568 3.841
0.000 0.000 0.000
0.905 4.704 -1.280
0.000 3.136 3.841
-1.811 3.136 -1.280
3.621 0.000 -1.280
1.811 3.136 1.280
0.000 0.000 3.841



(7)
Na2GaH2Se2 (PBE, optimized geometry); raw total energy = -3.161 eV/atom; mass density = 3.7 g/cm3; total moment = 0.00 μB/f.u.
1.0
-1.553 0.280 4.032
3.720 -2.341 3.920
2.966 3.984 3.190
Se H Na Ga
2 2 2 1
Cartesian
2.744 -0.498 5.741
2.389 2.421 5.401
-0.096 0.510 4.577
5.230 1.414 6.565
3.491 1.385 8.222
1.642 0.538 2.920
0.000 0.000 0.000



(8)
Tm4NiBi (PBE, optimized geometry); energy relative to the elements = -0.17 eV/atom; raw total energy = -4.765 eV/atom; mass density = 8.3 g/cm3; total moment = 0.00 μB/f.u.; offset from the most stable computed form = 256 meV per atom
1.0
-0.444 3.175 3.886
-6.645 -8.321 2.776
9.123 0.502 0.632
Tm Ni Bi
8 2 2
Cartesian
-2.240 -5.182 3.979
-0.113 -4.704 7.097
2.147 0.060 0.196
4.274 0.538 3.314
-0.808 -1.818 4.659
6.201 -2.169 2.480
2.842 -2.826 2.634
-4.167 -2.475 4.812
-2.437 -3.918 6.189
4.471 -0.726 1.104
1.960 -2.801 5.778
0.074 -1.843 1.515



(9)
Ag2IrSe (PBE, optimized geometry); raw total energy = -4.297 eV/atom; ΔE_f (raw) = 0.86 eV per formula unit; mass density = 11.2 g/cm3; total moment = 0.00 μB/f.u.
1.0
-3.937 2.677 -7.928
-1.234 1.819 -8.982
-3.424 -0.231 -8.587
Ag Ir Se
2 1 1
Cartesian
-2.106 1.045 -6.248
-8.572 4.254 -25.429
-4.253 2.110 -12.617
-6.557 3.253 -19.450



(10)
Pr2Si2Br (PBE, optimized geometry); raw total energy = -5.421 eV/atom; ΔE_f (raw) = -5.03 eV per formula unit; mass density = 5.1 g/cm3; total moment = 0.00 μB/f.u.
1.0
-1.599 -1.181 3.408
5.134 -6.263 0.239
3.840 8.481 2.456
Si Br Pr
4 2 4
Cartesian
1.178 3.743 4.133
3.630 0.426 1.851
3.745 0.612 4.252
6.197 -2.705 1.970
0.479 -2.160 1.775
3.056 -5.284 1.872
3.958 3.360 3.020
3.417 -2.322 3.082
6.525 0.228 3.140
0.850 0.810 2.963



(11)
Be2PAu (PBE, optimized geometry); energy relative to the elements = 0.57 eV/atom; raw total energy = -3.462 eV/atom; mass density = 7.5 g/cm3; total moment = 0.00 μB/f.u.
1.0
-1.264 3.998 -0.738
-3.978 1.184 0.949
-0.714 2.643 3.260
Be P Au
2 1 1
Cartesian
-1.489 1.956 0.868
0.000 0.000 0.000
-4.466 5.869 2.603
-2.978 3.913 1.735



(12)
Mg2PtBr (PBE, optimized geometry); raw total energy = -3.152 eV/atom; ΔE_f (raw) = -1.71 eV per formula unit; mass density = 4.8 g/cm3; total moment = 0.00 μB/f.u.; offset from the most stable computed form = 380 meV per atom
1.0
-2.421 -1.139 5.019
-2.691 -4.448 -2.307
2.824 -6.909 3.017
Br Pt Mg
2 2 4
Cartesian
-2.556 -2.794 1.356
-1.211 -7.076 1.033
-1.076 -5.421 4.696
0.000 0.000 0.000
-1.170 -4.599 -0.285
0.322 -7.078 3.383
-1.252 -3.046 3.828
-2.475 -10.270 4.532



(13)
NpSN (PBE, optimized geometry); raw total energy = -9.487 eV/atom; ΔE_f (raw) = -3.07 eV per formula unit; mass density = 9.8 g/cm3; total moment = 2.00 μB/f.u.; offset from the most stable computed form = 182 meV per atom
1.0
-2.148 0.847 2.915
1.111 -3.509 -0.534
3.271 0.700 2.207
Np S N
1 1 1
Cartesian
0.574 -0.255 2.869
0.000 0.000 0.000
1.661 -1.707 1.719



(14)
LiAl2Te (PBE, optimized geometry); raw total energy = -3.167 eV/atom; ΔE_f (raw) = -0.13 eV per formula unit; mass density = 3.8 g/cm3; total moment = 0.00 μB/f.u.
1.0
-2.740 3.964 -2.380
-0.842 -1.165 -5.179
-0.851 -2.781 4.519
Al Te Li
2 1 1
Cartesian
-1.742 -1.273 -2.219
0.000 0.000 0.000
-2.691 1.291 -0.820
-1.791 1.400 -3.779



(15)
Pa2Pb2Se7 (PBE, optimized geometry); raw total energy = -5.583 eV/atom; ΔE_f (raw) = -10.61 eV per formula unit; mass density = 7.1 g/cm3; total moment = 0.30 μB/f.u.; offset from the most stable computed form = 20 meV per atom
1.0
-4.758 4.821 -1.211
-0.104 -1.834 -6.888
-4.074 -5.343 1.483
Se Pa Pb
7 2 2
Cartesian
-4.495 -1.667 -5.152
0.000 0.000 0.000
-2.404 1.955 -2.307
-2.115 -4.049 -4.444
-4.440 -0.689 -1.464
-6.531 -4.310 -4.308
-6.821 1.694 -2.172
-4.257 -2.628 0.763
-4.679 0.272 -7.379
-2.277 -1.048 -3.375
-6.658 -1.307 -3.241



(16)
SrFeMo2 (PBE, optimized geometry); energy relative to the elements = 1.16 eV/atom; raw total energy = -6.790 eV/atom; mass density = 7.5 g/cm3; total moment = 1.85 μB/f.u.; offset from the most stable computed form = 552 meV per atom
1.0
-3.902 -3.129 -2.681
-2.203 -4.713 2.267
1.069 5.404 1.363
Fe Mo Sr
1 2 1
Cartesian
-2.943 -0.823 -0.763
-3.052 -3.921 -0.207
0.000 0.000 0.000
-2.093 -1.615 1.711



(17)
OsPt3 (PBE, optimized geometry); energy relative to the elements = 0.12 eV/atom; raw total energy = -7.217 eV/atom; mass density = 21.0 g/cm3; total moment = 0.00 μB/f.u.
1.0
4.816 0.000 0.000
0.000 9.079 0.000
0.000 0.000 5.606
Pt Os
12 4
Cartesian
1.164 4.514 2.114
3.652 4.565 3.492
1.164 0.026 2.114
4.418 2.270 4.908
2.010 2.270 3.501
3.573 4.514 0.689
0.398 6.809 0.698
1.244 9.053 4.916
3.573 0.026 0.689
1.244 4.565 4.916
2.807 6.809 2.105
3.652 9.053 3.492
2.784 6.809 4.841
0.376 6.809 3.567
2.032 2.270 0.765
4.441 2.270 2.038



(18)
PuZrTi2 (PBE, optimized geometry); energy relative to the elements = 0.18 eV/atom; raw total energy = -9.483 eV/atom; mass density = 8.8 g/cm3; total moment = 4.88 μB/f.u.; offset from the most stable computed form = 79 meV per atom
1.0
3.099 0.000 0.000
1.549 2.684 0.000
1.549 0.895 9.807
Ti Pu Zr
2 1 1
Cartesian
1.549 0.895 7.370
1.549 0.895 2.449
3.099 1.789 4.896
4.648 2.684 9.804



(19)
Pm6PrZn (PBE, optimized geometry); energy relative to the elements = 0.20 eV/atom; raw total energy = -4.118 eV/atom; mass density = 6.8 g/cm3; total moment = 0.74 μB/f.u.
1.0
-1.996 -1.301 6.650
5.640 -3.228 -2.771
1.690 6.897 -0.041
Pm Zn Pr
6 1 1
Cartesian
5.530 1.461 0.692
2.223 3.807 1.023
2.198 2.301 4.803
3.111 -1.438 2.815
-0.197 0.908 3.147
3.135 0.067 -0.964
2.667 1.184 1.919
0.000 0.000 0.000



(20)
AgTeBr6 (PBE, optimized geometry); raw total energy = -2.229 eV/atom; ΔE_f (raw) = -1.80 eV per formula unit; mass density = 4.5 g/cm3; total moment = 0.00 μB/f.u.; offset from the most stable computed form = 26 meV per atom
1.0
-0.110 -5.857 3.792
1.578 -6.113 -2.974
6.517 -3.149 1.744
Ag Br Te
1 6 1
Cartesian
3.992 -7.560 1.281
5.501 -5.355 0.520
1.943 -5.832 2.011
3.018 -7.714 -1.315
4.966 -7.405 3.877
6.041 -9.288 0.552
2.484 -9.765 2.042
0.000 0.000 0.000